An optimized crystal structure of K2Cd4Sn3Au, computed with PBE.

**D(E_F)**: 3.60 states/eV/f.u.
**Energy relative to the elements**: -153 meV per atom
**Total moment**: 0.0000 μB/atom

Lattice parameters (Å, degrees): 4.8353 4.8353 12.3772 90.00 90.00 90.00
Atoms (fractional coordinates):
K (0.0000, 0.5000, 0.2452)
K (0.5000, 0.0000, 0.7548)
Cd (0.0000, 0.0000, 0.5000)
Cd (0.0000, 0.5000, 0.8688)
Cd (0.5000, 0.0000, 0.1312)
Cd (0.5000, 0.5000, 0.5000)
Sn (0.0000, 0.0000, 0.0000)
Sn (0.0000, 0.5000, 0.6375)
Sn (0.5000, 0.0000, 0.3625)
Au (0.5000, 0.5000, 0.0000)